Compound: Mg2ZnGaH
Source: Alexandria
Functional: GGA-PBE
Structure: relaxed

calculated density = 4.0 g/cm³
total magnetic moment = 0.00 μB per cell
DOS(E_F) = 0.22 states/eV per atom
distance to the lowest polymorph of the same formula = 0.038 eV/atom

The structure in CIF format:
```
data_Mg2ZnGaH
_chemical_formula_sum 'Mg2 Zn1 Ga1 H1'
_cell_length_a 4.274
_cell_length_b 4.274
_cell_length_c 4.239
_cell_angle_alpha 90.00
_cell_angle_beta 90.00
_cell_angle_gamma 90.00
_symmetry_space_group_name_H-M 'P 4/m m m'
_symmetry_Int_Tables_number 123
_symmetry_space_group_name_Hall '-P 4 2'
loop_
_atom_site_label
_atom_site_fract_x
_atom_site_fract_y
_atom_site_fract_z
Mg1 0.000 0.500 0.000
Zn1 0.000 0.000 0.500
Ga1 0.500 0.500 0.500
H1 0.500 0.500 0.000
```



Compound: Mg2ZrGaH
Source: Alexandria
Functional: GGA-PBE
Structure: relaxed

calculated density = 4.4 g/cm³
total magnetic moment = 0.00 μB per cell
DFT total energy = -3.87 eV/atom
DOS(E_F) = 0.22 states/eV per atom

The structure in CIF format:
```
data_Mg2ZrGaH
_chemical_formula_sum 'Mg2 Zr1 Ga1 H1'
_cell_length_a 4.281
_cell_length_b 4.281
_cell_length_c 4.301
_cell_angle_alpha 90.00
_cell_angle_beta 90.00
_cell_angle_gamma 90.00
_symmetry_space_group_name_H-M 'P 4/m m m'
_symmetry_Int_Tables_number 123
_symmetry_space_group_name_Hall '-P 4 2'
loop_
_atom_site_label
_atom_site_fract_x
_atom_site_fract_y
_atom_site_fract_z
Mg1 0.000 0.500 0.000
Zr1 0.000 0.000 0.500
Ga1 0.500 0.500 0.500
H1 0.000 0.000 0.000
```



Compound: MnGaH2
Source: Alexandria
Functional: GGA-PBE
Structure: relaxed

calculated density = 5.2 g/cm³
total magnetic moment = 9.03 μB per cell
DOS(E_F) = 0.29 states/eV per atom
distance to the lowest polymorph of the same formula = 0.022 eV/atom

The structure in CIF format:
```
data_MnGaH2
_chemical_formula_sum 'Mn3 Ga3 H6'
_cell_length_a 2.7672
_cell_length_b 2.7672
_cell_length_c 18.2681
_cell_angle_alpha 90.00
_cell_angle_beta 90.00
_cell_angle_gamma 120.00
_symmetry_space_group_name_H-M 'R -3 m'
_symmetry_Int_Tables_number 166
_symmetry_space_group_name_Hall '-R 3 2"'
loop_
_atom_site_label
_atom_site_fract_x
_atom_site_fract_y
_atom_site_fract_z
Mn1 0.0000 0.0000 0.0000
Ga1 0.0000 0.0000 0.5000
H1 0.0000 0.0000 0.3775
```



Compound: MnGa2H
Source: Alexandria
Functional: GGA-PBE
Structure: relaxed

calculated density = 7.2 g/cm³
total magnetic moment = 0.00 μB per cell
DOS(E_F) = 0.08 states/eV per atom
distance to the lowest polymorph of the same formula = 0.000 eV/atom

The structure in CIF format:
```
data_MnGa2H
_chemical_formula_sum 'Mn4 Ga8 H4'
_cell_length_a 6.166
_cell_length_b 6.166
_cell_length_c 4.738
_cell_angle_alpha 90.00
_cell_angle_beta 90.00
_cell_angle_gamma 90.00
_symmetry_space_group_name_H-M 'I -4 2 d'
_symmetry_Int_Tables_number 122
_symmetry_space_group_name_Hall 'I -4 2bw'
loop_
_atom_site_label
_atom_site_fract_x
_atom_site_fract_y
_atom_site_fract_z
Mn1 0.000 0.000 0.000
Ga1 0.175 0.250 0.625
H1 0.000 0.000 0.500
```



Compound: Mn3GaH
Source: Alexandria
Functional: GGA-PBE
Structure: relaxed

calculated density = 8.1 g/cm³
total magnetic moment = 0.00 μB per cell
DFT total energy = -6.76 eV/atom
DOS(E_F) = 1.11 states/eV per atom

The structure in CIF format:
```
data_Mn3GaH
_chemical_formula_sum 'Mn24 Ga8 H8'
_cell_length_a 8.271
_cell_length_b 10.336
_cell_length_c 4.535
_cell_angle_alpha 90.00
_cell_angle_beta 91.13
_cell_angle_gamma 90.00
_symmetry_space_group_name_H-M 'C 1 2/c 1'
_symmetry_Int_Tables_number 15
loop_
_symmetry_equiv_pos_as_xyz
'x,y,z'
'-x,-y,-z'
'-x,y,-z+1/2'
'x,-y,z+1/2'
'x+1/2,y+1/2,z'
'-x+1/2,-y+1/2,-z'
'-x+1/2,y+1/2,-z+1/2'
'x+1/2,-y+1/2,z+1/2'
loop_
_atom_site_label
_atom_site_fract_x
_atom_site_fract_y
_atom_site_fract_z
Mn1 0.119 0.189 0.091
Mn2 0.124 0.064 0.582
Mn3 0.133 0.308 0.578
Ga1 0.134 0.429 0.071
H1 0.000 0.061 0.250
H2 0.000 0.191 0.750
```



Compound: Mn3GaH
Source: Alexandria
Functional: GGA-PBE
Structure: relaxed

calculated density = 5.6 g/cm³
total magnetic moment = 4.93 μB per cell
DFT total energy = -6.27 eV/atom
DOS(E_F) = 1.00 states/eV per atom

The structure in CIF format:
```
data_Mn3GaH
_chemical_formula_sum 'Mn3 Ga1 H1'
_cell_length_a 3.268
_cell_length_b 3.268
_cell_length_c 6.561
_cell_angle_alpha 90.00
_cell_angle_beta 90.00
_cell_angle_gamma 90.00
_symmetry_space_group_name_H-M 'P 4 m m'
_symmetry_Int_Tables_number 99
loop_
_symmetry_equiv_pos_as_xyz
'x,y,z'
'-y,x,z'
'-x,-y,z'
'y,-x,z'
'-x,y,z'
'y,x,z'
'x,-y,z'
'-y,-x,z'
loop_
_atom_site_label
_atom_site_fract_x
_atom_site_fract_y
_atom_site_fract_z
Mn1 0.000 0.000 0.000
Mn2 0.000 0.500 0.702
Ga1 0.000 0.000 0.388
H1 0.500 0.500 0.590
```



Compound: Mn2GaH2
Source: Alexandria
Functional: GGA-PBE
Structure: relaxed

calculated density = 6.7 g/cm³
total magnetic moment = 20.22 μB per cell
DOS(E_F) = 0.31 states/eV per atom
distance to the lowest polymorph of the same formula = 0.010 eV/atom

The structure in CIF format:
```
data_Mn2GaH2
_chemical_formula_sum 'Mn8 Ga4 H8'
_cell_length_a 4.863
_cell_length_b 8.059
_cell_length_c 5.175
_cell_angle_alpha 90.00
_cell_angle_beta 117.80
_cell_angle_gamma 90.00
_symmetry_space_group_name_H-M 'C 1 2/c 1'
_symmetry_Int_Tables_number 15
loop_
_symmetry_equiv_pos_as_xyz
'x,y,z'
'-x,-y,-z'
'-x,y,-z+1/2'
'x,-y,z+1/2'
'x+1/2,y+1/2,z'
'-x+1/2,-y+1/2,-z'
'-x+1/2,y+1/2,-z+1/2'
'x+1/2,-y+1/2,z+1/2'
loop_
_atom_site_label
_atom_site_fract_x
_atom_site_fract_y
_atom_site_fract_z
Mn1 0.000 0.043 0.250
Mn2 0.000 0.291 0.750
Ga1 0.000 0.376 0.250
H1 0.130 0.124 0.006
```



Compound: Mn3GaH
Source: Alexandria
Functional: GGA-PBE
Structure: relaxed

calculated density = 7.8 g/cm³
total magnetic moment = 8.69 μB per cell
DFT total energy = -6.77 eV/atom
DOS(E_F) = 0.79 states/eV per atom

The structure in CIF format:
```
data_Mn3GaH
_chemical_formula_sum 'Mn6 Ga2 H2'
_cell_length_a 4.273
_cell_length_b 5.169
_cell_length_c 4.559
_cell_angle_alpha 90.00
_cell_angle_beta 92.40
_cell_angle_gamma 90.00
_symmetry_space_group_name_H-M 'P 1 21/m 1'
_symmetry_Int_Tables_number 11
loop_
_symmetry_equiv_pos_as_xyz
'x,y,z'
'-x,-y,-z'
'-x,y+1/2,-z'
'x,-y+1/2,z'
loop_
_atom_site_label
_atom_site_fract_x
_atom_site_fract_y
_atom_site_fract_z
Mn1 0.236 0.250 0.337
Mn2 0.240 0.504 0.836
Ga1 0.251 0.750 0.347
H1 0.467 0.250 0.047
```



Repeat the seventh record exactly.
Compound: Mn2GaH2
Source: Alexandria
Functional: GGA-PBE
Structure: relaxed

calculated density = 6.7 g/cm³
total magnetic moment = 20.22 μB per cell
DOS(E_F) = 0.31 states/eV per atom
distance to the lowest polymorph of the same formula = 0.010 eV/atom

The structure in CIF format:
```
data_Mn2GaH2
_chemical_formula_sum 'Mn8 Ga4 H8'
_cell_length_a 4.863
_cell_length_b 8.059
_cell_length_c 5.175
_cell_angle_alpha 90.00
_cell_angle_beta 117.80
_cell_angle_gamma 90.00
_symmetry_space_group_name_H-M 'C 1 2/c 1'
_symmetry_Int_Tables_number 15
loop_
_symmetry_equiv_pos_as_xyz
'x,y,z'
'-x,-y,-z'
'-x,y,-z+1/2'
'x,-y,z+1/2'
'x+1/2,y+1/2,z'
'-x+1/2,-y+1/2,-z'
'-x+1/2,y+1/2,-z+1/2'
'x+1/2,-y+1/2,z+1/2'
loop_
_atom_site_label
_atom_site_fract_x
_atom_site_fract_y
_atom_site_fract_z
Mn1 0.000 0.043 0.250
Mn2 0.000 0.291 0.750
Ga1 0.000 0.376 0.250
H1 0.130 0.124 0.006
```



Look up the DOS(E_F) of the third one.
0.29 states/eV per atom



Copy entry 3 word for word.
Compound: MnGaH2
Source: Alexandria
Functional: GGA-PBE
Structure: relaxed

calculated density = 5.2 g/cm³
total magnetic moment = 9.03 μB per cell
DOS(E_F) = 0.29 states/eV per atom
distance to the lowest polymorph of the same formula = 0.022 eV/atom

The structure in CIF format:
```
data_MnGaH2
_chemical_formula_sum 'Mn3 Ga3 H6'
_cell_length_a 2.7672
_cell_length_b 2.7672
_cell_length_c 18.2681
_cell_angle_alpha 90.00
_cell_angle_beta 90.00
_cell_angle_gamma 120.00
_symmetry_space_group_name_H-M 'R -3 m'
_symmetry_Int_Tables_number 166
_symmetry_space_group_name_Hall '-R 3 2"'
loop_
_atom_site_label
_atom_site_fract_x
_atom_site_fract_y
_atom_site_fract_z
Mn1 0.0000 0.0000 0.0000
Ga1 0.0000 0.0000 0.5000
H1 0.0000 0.0000 0.3775
```



Among the records above, which one has the highest calculated density?
number 5